DFT (PBE) results for Ba8Na2Tl after structural relaxation.

abc: 6.3982 8.8127 11.6718
angles: 108.04 105.91 90.00
Sites, in units of the cell vectors:
1 Ba 0.4106 0.5756 0.8212
2 Ba 0.6548 0.9656 0.3097
3 Ba 0.8000 0.7009 0.6001
4 Ba 0.9778 0.2039 0.9557
5 Ba 0.2000 0.2991 0.3999
6 Ba 0.3452 0.0344 0.6903
7 Ba 0.5894 0.4244 0.1788
8 Ba 0.0222 0.7961 0.0443
9 Na 0.8197 0.2873 0.6394
10 Na 0.1803 0.7127 0.3606
11 Tl 0.5000 0.0000 0.0000

Values from the calculation:
Energy of formation in eV per atom: -0.048
Total magnetic moment in μB/f.u.: 0.000
Relative energy among the computed polymorphs in eV/atom: 0.0154

=====

DFT (PBE) results for BaNa2Tl4 after structural relaxation.

abc: 5.9555 6.7378 6.7378
angles: 78.74 63.77 63.77
Sites, in units of the cell vectors:
1 Ba 0.0000 0.0000 0.0000
2 Na 0.7500 0.5000 0.5000
3 Na 0.2500 0.5000 0.5000
4 Tl 0.6901 0.0000 0.6197
5 Tl 0.3099 0.0000 0.3803
6 Tl 0.3099 0.3803 0.0000
7 Tl 0.6901 0.6197 0.0000

Values from the calculation:
Energy of formation in eV per atom: -0.209
Total magnetic moment in μB/f.u.: 0.000

=====

DFT (PBE) results for BaNa2Tl after structural relaxation.

abc: 5.1825 6.7086 9.7671
angles: 90.00 90.00 112.76
Sites, in units of the cell vectors:
1 Ba 0.9384 0.8771 0.2500
2 Ba 0.0616 0.1229 0.7500
3 Na 0.3479 0.6946 0.5586
4 Na 0.6521 0.3054 0.4414
5 Na 0.3479 0.6946 0.9414
6 Na 0.6521 0.3054 0.0586
7 Tl 0.7681 0.5357 0.7500
8 Tl 0.2319 0.4643 0.2500

Values from the calculation:
Energy of formation in eV per atom: -0.146
Total magnetic moment in μB/f.u.: 0.000
Relative energy among the computed polymorphs in eV/atom: 0.0000

=====

DFT (PBE) results for BaNaTl3 after structural relaxation.

abc: 5.6552 5.6552 5.6552
angles: 90.00 90.00 90.00
Sites, in units of the cell vectors:
1 Na 0.0000 0.0000 0.0000
2 Tl 0.0000 0.5000 0.0000
3 Tl 0.0000 0.0000 0.5000
4 Tl 0.5000 0.0000 0.0000
5 Ba 0.5000 0.5000 0.5000

Values from the calculation:
Energy of formation in eV per atom: -0.016
Total magnetic moment in μB/f.u.: 0.000
Relative energy among the computed polymorphs in eV/atom: 0.1813

=====

DFT (PBE) results for Ba7NaTl4 after structural relaxation.

abc: 6.4862 10.6832 8.9394
angles: 78.84 68.73 72.33
Sites, in units of the cell vectors:
1 Ba 0.7827 0.8811 0.5536
2 Ba 0.2173 0.1189 0.4464
3 Ba 0.0738 0.6352 0.2172
4 Ba 0.9262 0.3648 0.7828
5 Ba 0.3232 0.6195 0.7341
6 Ba 0.5000 0.0000 0.0000
7 Ba 0.6768 0.3805 0.2659
8 Na 0.0000 0.0000 0.0000
9 Tl 0.5540 0.2293 0.6627
10 Tl 0.4460 0.7707 0.3373
11 Tl 0.6854 0.6632 0.9660
12 Tl 0.3146 0.3368 0.0340

Values from the calculation:
Energy of formation in eV per atom: -0.198
Total magnetic moment in μB/f.u.: 0.002

=====

DFT (PBE) results for Ba2NaTl2 after structural relaxation.

abc: 5.6416 6.6107 12.0266
angles: 83.32 76.44 64.74
Sites, in units of the cell vectors:
1 Ba 0.3128 0.2726 0.1019
2 Ba 0.4978 0.3200 0.6845
3 Ba 0.6872 0.7274 0.8981
4 Ba 0.5022 0.6800 0.3155
5 Na 0.7855 0.0531 0.3759
6 Na 0.2145 0.9469 0.6241
7 Tl 0.9888 0.1351 0.8873
8 Tl 0.1363 0.3163 0.4110
9 Tl 0.0112 0.8649 0.1127
10 Tl 0.8637 0.6837 0.5890

Values from the calculation:
Energy of formation in eV per atom: -0.271
Total magnetic moment in μB/f.u.: 0.000
Relative energy among the computed polymorphs in eV/atom: 0.0218

=====

DFT (PBE) results for Ba5NaTl2 after structural relaxation.

abc: 9.9240 9.9240 10.6899
angles: 117.66 117.66 90.00
Sites, in units of the cell vectors:
1 Ba 0.5219 0.7084 0.7303
2 Ba 0.7916 0.9781 0.2697
3 Ba 0.0000 0.0000 0.0000
4 Ba 0.5000 0.5000 0.0000
5 Ba 0.2084 0.0219 0.7303
6 Ba 0.7084 0.2084 0.7303
7 Ba 0.0219 0.5219 0.7303
8 Ba 0.2916 0.7916 0.2697
9 Ba 0.9781 0.4781 0.2697
10 Ba 0.4781 0.2916 0.2697
11 Na 0.7500 0.7500 0.5000
12 Na 0.2500 0.2500 0.5000
13 Tl 0.1345 0.3655 0.0000
14 Tl 0.6345 0.1345 0.0000
15 Tl 0.3655 0.8655 0.0000
16 Tl 0.8655 0.6345 0.0000

Values from the calculation:
Energy of formation in eV per atom: -0.229
Total magnetic moment in μB/f.u.: 0.000

=====

DFT (PBE) results for Ba2NaTl2 after structural relaxation.

abc: 6.8650 6.8650 6.7958
angles: 59.66 59.66 90.00
Sites, in units of the cell vectors:
1 Na 0.0000 0.0000 0.0000
2 Tl 0.3491 0.3491 0.3017
3 Tl 0.6509 0.6509 0.6983
4 Ba 0.7500 0.2500 0.5000
5 Ba 0.2500 0.7500 0.5000

Values from the calculation:
Energy of formation in eV per atom: -0.153
Total magnetic moment in μB/f.u.: 0.000
Relative energy among the computed polymorphs in eV/atom: 0.1396

=====

DFT (PBE) results for Ba3Na4Tl4 after structural relaxation.

abc: 4.0794 5.5329 18.0052
angles: 81.11 83.37 89.98
Sites, in units of the cell vectors:
1 Ba 0.1427 0.6413 0.7147
2 Ba 0.8574 0.3587 0.2853
3 Ba 0.0000 0.0000 0.0000
4 Na 0.5905 0.0906 0.8156
5 Na 0.2578 0.2583 0.4832
6 Na 0.7422 0.7417 0.5169
7 Na 0.4095 0.9095 0.1844
8 Tl 0.5493 0.5456 0.9065
9 Tl 0.4507 0.4544 0.0935
10 Tl 0.3163 0.8185 0.3661
11 Tl 0.6837 0.1815 0.6339

Values from the calculation:
Energy of formation in eV per atom: -0.191
Total magnetic moment in μB/f.u.: 0.000
Relative energy among the computed polymorphs in eV/atom: 0.0000

=====

DFT (PBE) results for BaNa2Tl after structural relaxation.

abc: 4.6853 11.1760 12.3591
angles: 90.00 90.00 102.10
Sites, in units of the cell vectors:
1 Ba 0.5000 0.0000 0.5000
2 Ba 0.5000 0.0000 0.0000
3 Ba 0.6756 0.3513 0.2500
4 Ba 0.3244 0.6487 0.7500
5 Na 0.1191 0.2381 0.7500
6 Na 0.0351 0.0702 0.2500
7 Na 0.8809 0.7619 0.2500
8 Na 0.9649 0.9298 0.7500
9 Na 0.2918 0.5836 0.4220
10 Na 0.7082 0.4164 0.5780
11 Na 0.7082 0.4164 0.9220
12 Na 0.2918 0.5836 0.0780
13 Tl 0.8720 0.7440 0.5339
14 Tl 0.1280 0.2560 0.0339
15 Tl 0.8720 0.7440 0.9661
16 Tl 0.1280 0.2560 0.4661

Values from the calculation:
Energy of formation in eV per atom: -0.139
Total magnetic moment in μB/f.u.: 0.000
Relative energy among the computed polymorphs in eV/atom: 0.0068

=====

DFT (PBE) results for BaNa3Tl7 after structural relaxation.

abc: 7.0601 9.9197 9.9197
angles: 57.42 133.25 133.25
Sites, in units of the cell vectors:
1 Ba 0.5000 0.5000 0.5000
2 Na 0.0000 0.8189 0.1811
3 Na 0.5000 0.0000 0.0000
4 Na 0.0000 0.1811 0.8189
5 Tl 0.3005 0.2308 0.2308
6 Tl 0.2426 0.9387 0.5820
7 Tl 0.7574 0.4180 0.0613
8 Tl 0.2426 0.5820 0.9387
9 Tl 0.0000 0.5000 0.5000
10 Tl 0.7574 0.0613 0.4180
11 Tl 0.6995 0.7692 0.7692

Values from the calculation:
Energy of formation in eV per atom: -0.090
Total magnetic moment in μB/f.u.: 0.000

=====

DFT (PBE) results for Ba2NaTl after structural relaxation.

abc: 9.8637 9.8637 8.0180
angles: 52.04 52.04 90.00
Sites, in units of the cell vectors:
1 Na 0.5000 0.5000 0.0000
2 Na 0.2500 0.7500 0.5000
3 Tl 0.0000 0.0000 0.0000
4 Tl 0.7500 0.2500 0.5000
5 Ba 0.6490 0.1250 0.2500
6 Ba 0.1010 0.6250 0.2500
7 Ba 0.3750 0.3510 0.7500
8 Ba 0.8750 0.8990 0.7500

Values from the calculation:
Energy of formation in eV per atom: 0.011
Total magnetic moment in μB/f.u.: 0.000

=====

DFT (PBE) results for Ba3Na2Tl after structural relaxation.

abc: 4.3617 4.3617 14.6939
angles: 90.00 90.00 90.00
Sites, in units of the cell vectors:
1 Ba 0.0000 0.0000 0.0000
2 Ba 0.0000 0.0000 0.6375
3 Ba 0.0000 0.0000 0.3625
4 Na 0.5000 0.5000 0.8214
5 Na 0.5000 0.5000 0.1786
6 Tl 0.5000 0.5000 0.5000

Values from the calculation:
Energy of formation in eV per atom: -0.163
Total magnetic moment in μB/f.u.: 0.000
Relative energy among the computed polymorphs in eV/atom: 0.0000

=====

DFT (PBE) results for Ba2NaTl after structural relaxation.

abc: 8.4525 8.4525 8.4525
angles: 55.89 152.20 132.55
Sites, in units of the cell vectors:
1 Ba 0.0000 0.2666 0.2666
2 Ba 0.0000 0.7334 0.7334
3 Na 0.0000 0.0000 0.0000
4 Tl 0.0000 0.5000 0.5000

Values from the calculation:
Energy of formation in eV per atom: 0.222
Total magnetic moment in μB/f.u.: 0.000

=====

DFT (PBE) results for BaNa2Tl after structural relaxation.

abc: 3.8896 3.8896 12.7513
angles: 81.23 81.23 60.00
Sites, in units of the cell vectors:
1 Na 0.0998 0.0998 0.7005
2 Na 0.9002 0.9002 0.2995
3 Tl 0.5000 0.5000 0.5000
4 Ba 0.0000 0.0000 0.0000

Values from the calculation:
Energy of formation in eV per atom: 0.108
Total magnetic moment in μB/f.u.: 0.000
Relative energy among the computed polymorphs in eV/atom: 0.2535

=====

DFT (PBE) results for Ba7Na2Tl2 after structural relaxation.

abc: 8.6104 8.7025 8.6104
angles: 90.00 102.48 90.00
Sites, in units of the cell vectors:
1 Ba 0.9998 0.2450 0.5003
2 Ba 0.5003 0.7550 0.9998
3 Ba 0.0002 0.7550 0.4997
4 Ba 0.4997 0.2450 0.0002
5 Ba 0.0000 0.0000 0.0000
6 Ba 0.5002 0.7657 0.4998
7 Ba 0.4998 0.2343 0.5002
8 Na 0.8380 0.5000 0.8380
9 Na 0.1620 0.5000 0.1620
10 Tl 0.7174 0.0000 0.2826
11 Tl 0.2826 0.0000 0.7174

Values from the calculation:
Energy of formation in eV per atom: -0.066
Total magnetic moment in μB/f.u.: 0.002

=====

DFT (PBE) results for Ba2Na2Tl3 after structural relaxation.

abc: 5.4943 6.6767 8.2016
angles: 110.31 90.00 114.30
Sites, in units of the cell vectors:
1 Ba 0.8443 0.6887 0.2516
2 Ba 0.1557 0.3113 0.7484
3 Na 0.8654 0.7308 0.7706
4 Na 0.1346 0.2692 0.2294
5 Tl 0.5000 0.0000 0.0000
6 Tl 0.5987 0.1974 0.4213
7 Tl 0.4013 0.8026 0.5787

Values from the calculation:
Energy of formation in eV per atom: -0.201
Total magnetic moment in μB/f.u.: 0.000
Relative energy among the computed polymorphs in eV/atom: 0.0377

=====

DFT (PBE) results for Ba3Na2Tl9 after structural relaxation.

abc: 5.2370 10.0106 10.0106
angles: 69.44 74.84 74.84
Sites, in units of the cell vectors:
1 Ba 0.0000 0.0000 0.0000
2 Ba 0.7029 0.2971 0.2971
3 Ba 0.2971 0.7029 0.7029
4 Na 0.5000 0.3122 0.6878
5 Na 0.5000 0.6878 0.3122
6 Tl 0.0000 0.5000 0.5000
7 Tl 0.6583 0.9767 0.7067
8 Tl 0.3417 0.0233 0.2933
9 Tl 0.6583 0.7067 0.9767
10 Tl 0.3417 0.2933 0.0233
11 Tl 0.8553 0.8626 0.4268
12 Tl 0.1447 0.1374 0.5732
13 Tl 0.8553 0.4268 0.8626
14 Tl 0.1447 0.5732 0.1374

Values from the calculation:
Energy of formation in eV per atom: -0.281
Total magnetic moment in μB/f.u.: 0.000

=====

DFT (PBE) results for BaNa5Tl2 after structural relaxation.

abc: 4.6379 8.3027 8.3027
angles: 76.28 73.78 73.78
Sites, in units of the cell vectors:
1 Ba 0.0000 0.0000 0.0000
2 Na 0.0000 0.5000 0.5000
3 Na 0.6575 0.5317 0.1533
4 Na 0.3425 0.4683 0.8467
5 Na 0.3425 0.8467 0.4683
6 Na 0.6575 0.1533 0.5317
7 Tl 0.7308 0.7692 0.7692
8 Tl 0.2692 0.2308 0.2308

Values from the calculation:
Energy of formation in eV per atom: -0.109
Total magnetic moment in μB/f.u.: 0.000

=====

DFT (PBE) results for Ba3Na2Tl7 after structural relaxation.

abc: 6.6250 6.6250 11.2902
angles: 72.94 72.94 60.00
Sites, in units of the cell vectors:
1 Ba 0.0000 0.0000 0.0000
2 Ba 0.8605 0.8605 0.4185
3 Ba 0.1395 0.1395 0.5815
4 Na 0.6656 0.6656 0.0031
5 Na 0.3344 0.3344 0.9969
6 Tl 0.5000 0.5000 0.5000
7 Tl 0.9234 0.4157 0.2452
8 Tl 0.4157 0.9234 0.2452
9 Tl 0.4157 0.4157 0.2452
10 Tl 0.0766 0.5843 0.7548
11 Tl 0.5843 0.5843 0.7548
12 Tl 0.5843 0.0766 0.7548

Values from the calculation:
Energy of formation in eV per atom: -0.266
Total magnetic moment in μB/f.u.: 0.000

=====

DFT (PBE) results for Ba2NaTl2 after structural relaxation.

abc: 10.1712 10.1712 3.9718
angles: 90.00 90.00 90.00
Sites, in units of the cell vectors:
1 Na 0.0000 0.0000 0.0000
2 Na 0.5000 0.5000 0.0000
3 Tl 0.1332 0.6332 0.5000
4 Tl 0.6332 0.8668 0.5000
5 Tl 0.8668 0.3668 0.5000
6 Tl 0.3668 0.1332 0.5000
7 Ba 0.3380 0.8380 0.0000
8 Ba 0.8380 0.6620 0.0000
9 Ba 0.6620 0.1620 0.0000
10 Ba 0.1620 0.3380 0.0000

Values from the calculation:
Energy of formation in eV per atom: -0.185
Total magnetic moment in μB/f.u.: 0.000
Relative energy among the computed polymorphs in eV/atom: 0.1078

=====

DFT (PBE) results for Ba4NaTl2 after structural relaxation.

abc: 9.7305 8.8375 10.7878
angles: 131.53 98.63 93.24
Sites, in units of the cell vectors:
1 Ba 0.8250 0.9992 0.1646
2 Ba 0.3290 0.5672 0.2159
3 Ba 0.7324 0.6792 0.5881
4 Ba 0.0182 0.1661 0.6350
5 Ba 0.3774 0.1675 0.3636
6 Ba 0.4492 0.0980 0.7412
7 Ba 0.4150 0.6976 0.8839
8 Ba 0.8374 0.4878 0.1215
9 Na 0.1186 0.5771 0.5122
10 Na 0.1240 0.0134 0.9466
11 Tl 0.7247 0.4387 0.7584
12 Tl 0.6585 0.9375 0.4230
13 Tl 0.5513 0.2240 0.1276
14 Tl 0.0895 0.6967 0.0185

Values from the calculation:
Energy of formation in eV per atom: -0.193
Total magnetic moment in μB/f.u.: 0.000
Relative energy among the computed polymorphs in eV/atom: 0.0215